Entry from Alexandria: crystalline KAl3B at its relaxed geometry (PBE-GGA).

Summary:
- polymorph energy (0 for the lowest one) (meV per atom) = 0
- E_form (eV per atom) = 0.63
- final energy (eV/atom) = -3.171

Cell: 4.6482 4.6482 4.6482 Å, 90.00 90.00 90.00°
With the nearest neighbours (Å) after each atom.
Space group Pm-3m (No. 221)
Asymmetric unit:
K: 0.0000 0.0000 0.0000  12 Al 3.29
Al: 0.0000 0.5000 0.5000  2 B 2.32
B: 0.5000 0.5000 0.5000  6 Al 2.32